(1)
The following is a GGA-PBE calculation of an optimized crystal structure of Tb2PrErTm4, from the Alexandria database.

Geometry as CIF:
```
data_Tb2PrErTm4
_space_group_name_H-M_alt 'I m m a'
_space_group_IT_number 74
_space_group_name_Hall '-I 2b 2'
_cell_length_a 6.758
_cell_length_b 11.699
_cell_length_c 13.216
_cell_angle_alpha 90.00
_cell_angle_beta 90.00
_cell_angle_gamma 90.00
loop_
_atom_site_label
_atom_site_type_symbol
_atom_site_fract_x
_atom_site_fract_y
_atom_site_fract_z
Tb1 Tb 0.000 0.000 0.000
Tb2 Tb 0.250 0.250 0.250
Pr1 Pr 0.000 0.000 0.500
Er1 Er 0.250 0.250 0.750
Tm1 Tm 0.000 0.002 0.751
Tm2 Tm 0.249 0.250 0.998
```

Output
**ΔE_f**: 339.9 kJ/mol of formula units

(2)
The following is a GGA-PBE calculation of an optimized crystal structure of P2PbF2, from the Alexandria database.

Geometry as CIF:
```
data_P2PbF2
_space_group_name_H-M_alt 'I 4/m m m'
_space_group_IT_number 139
_space_group_name_Hall '-I 4 2'
_cell_length_a 3.252
_cell_length_b 3.252
_cell_length_c 19.210
_cell_angle_alpha 90.00
_cell_angle_beta 90.00
_cell_angle_gamma 90.00
loop_
_atom_site_label
_atom_site_type_symbol
_atom_site_fract_x
_atom_site_fract_y
_atom_site_fract_z
P1 P 0.000 0.500 0.250
Pb1 Pb 0.000 0.000 0.000
F1 F 0.000 0.000 0.435
```

Output
**Uncorrected formation energy**: -0.99 eV/atom

Number 1: DFT total energy -4.121 eV/atom. Number 2: DFT total energy -4.647 eV/atom.